# GGA-PBEsol Na2P2H2O7, relaxed
data_Na2P2H2O7
_chemical_formula_sum 'Na32 P32 H32 O112'
_cell_length_a 6.864
_cell_length_b 12.320
_cell_length_c 27.409
_cell_angle_alpha 90.00
_cell_angle_beta 90.00
_cell_angle_gamma 90.00
_space_group_name_H-M_alt 'F d d d'
_space_group_IT_number 70
loop_
_space_group_symop_operation_xyz
'x,y,z'
'-x,-y,-z'
'-x+1/4,-y+1/4,z'
'x+1/4,y+1/4,-z'
'x,-y+1/4,-z+1/4'
'-x,y+1/4,z+1/4'
'-x+1/4,y,-z+1/4'
'x+1/4,-y,z+1/4'
'x,y+1/2,z+1/2'
'-x,-y+1/2,-z+1/2'
'-x+1/4,-y+3/4,z+1/2'
'x+1/4,y+3/4,-z+1/2'
'x,-y+3/4,-z+3/4'
'-x,y+3/4,z+3/4'
'-x+1/4,y+1/2,-z+3/4'
'x+1/4,-y+1/2,z+3/4'
'x+1/2,y,z+1/2'
'-x+1/2,-y,-z+1/2'
'-x+3/4,-y+1/4,z+1/2'
'x+3/4,y+1/4,-z+1/2'
'x+1/2,-y+1/4,-z+3/4'
'-x+1/2,y+1/4,z+3/4'
'-x+3/4,y,-z+3/4'
'x+3/4,-y,z+3/4'
'x+1/2,y+1/2,z'
'-x+1/2,-y+1/2,-z'
'-x+3/4,-y+3/4,z'
'x+3/4,y+3/4,-z'
'x+1/2,-y+3/4,-z+1/4'
'-x+1/2,y+3/4,z+1/4'
'-x+3/4,y+1/2,-z+1/4'
'x+3/4,-y+1/2,z+1/4'
loop_
_atom_site_label
_atom_site_fract_x
_atom_site_fract_y
_atom_site_fract_z
Na1 0.026 0.267 0.424
P1 0.033 0.018 0.302
H1 0.125 0.125 0.509
H2 0.125 0.303 0.625
O1 0.029 0.044 0.744
O2 0.066 0.287 0.334
O3 0.101 0.305 0.668
O4 0.125 0.125 0.278
# * E_tot: -83.699 eV per formula unit

---

# GGA-PBEsol Na2PH11O8, relaxed
data_Na2PH11O8
_chemical_formula_sum 'Na4 P2 H22 O16'
_cell_length_a 7.107
_cell_length_b 6.362
_cell_length_c 9.110
_cell_angle_alpha 90.00
_cell_angle_beta 90.00
_cell_angle_gamma 90.00
_space_group_name_H-M_alt 'P m n 21'
_space_group_IT_number 31
loop_
_space_group_symop_operation_xyz
'x,y,z'
'-x+1/2,-y,z+1/2'
'-x,y,z'
'x+1/2,-y,z+1/2'
loop_
_atom_site_label
_atom_site_fract_x
_atom_site_fract_y
_atom_site_fract_z
Na1 0.000 0.006 0.000
Na2 0.000 0.958 0.585
P1 0.000 0.354 0.351
H1 0.000 0.402 0.504
H2 0.113 0.674 0.810
H3 0.161 0.953 0.246
H4 0.207 0.715 0.210
H5 0.214 0.353 0.107
H6 0.249 0.629 0.436
O1 0.000 0.115 0.336
O2 0.000 0.767 0.813
O3 0.179 0.458 0.288
O4 0.229 0.861 0.175
O5 0.236 0.269 0.017
# * E_tot: -115.667 eV per formula unit

---

# GGA-PBEsol Na2PHO4, relaxed
data_Na2PHO4
_chemical_formula_sum 'Na8 P4 H4 O16'
_cell_length_a 5.446
_cell_length_b 6.815
_cell_length_c 10.976
_cell_angle_alpha 90.00
_cell_angle_beta 116.37
_cell_angle_gamma 90.00
_space_group_name_H-M_alt 'P 1 21/c 1'
_space_group_IT_number 14
loop_
_space_group_symop_operation_xyz
'x,y,z'
'-x,-y,-z'
'-x,y+1/2,-z+1/2'
'x,-y+1/2,z+1/2'
loop_
_atom_site_label
_atom_site_fract_x
_atom_site_fract_y
_atom_site_fract_z
Na1 0.000 0.000 0.000
Na2 0.000 0.000 0.500
Na3 0.390 0.242 0.389
P1 0.333 0.748 0.809
H1 0.023 0.504 0.258
O1 0.202 0.569 0.848
O2 0.207 0.559 0.345
O3 0.241 0.750 0.155
O4 0.359 0.247 0.101
# * E_tot: -49.174 eV per formula unit